Record 1
A relaxed BiHAu2 crystal, computed with PBE.

Unit cell a=5.244 b=5.244 c=11.357 alpha=90.00 beta=90.00 gamma=90.00
Fractional positions:
Bi: 0.000 0.000 0.000
Bi: 0.000 0.500 0.250
Bi: 0.500 0.000 0.750
Bi: 0.500 0.500 0.500
H: 0.000 0.000 0.500
H: 0.000 0.500 0.750
H: 0.500 0.000 0.250
H: 0.500 0.500 0.000
Au: 0.080 0.250 0.625
Au: 0.250 0.580 0.875
Au: 0.250 0.920 0.375
Au: 0.420 0.250 0.125
Au: 0.580 0.750 0.125
Au: 0.750 0.080 0.375
Au: 0.750 0.420 0.875
Au: 0.920 0.750 0.625

Summary:
As for the raw total energy: -3.245 eV per atom. The calculation puts the density at 12843 kg/m3. Its space-group type is I-42d, No. 122. The value obtained for the spin magnetization is 0.00 μB/atom.

***

Record 2
A relaxed BiHAu crystal, computed with PBE.

Unit cell a=4.175 b=4.175 c=6.760 alpha=90.00 beta=90.00 gamma=90.00
Fractional positions:
Bi: 0.000 0.000 0.000
Bi: 0.500 0.500 0.500
H: 0.000 0.000 0.690
H: 0.500 0.500 0.190
Au: 0.000 0.000 0.435
Au: 0.500 0.500 0.935

Summary:
As for the raw total energy: -3.307 eV per atom. The calculation puts the density at 11468 kg/m3. Its space-group type is I4mm, No. 107. The value obtained for the spin magnetization is 0.00 μB/atom.

***

Record 3
A relaxed Bi2HAu crystal, computed with PBE.

Unit cell a=13.785 b=4.375 c=5.926 alpha=90.00 beta=92.17 gamma=90.00
Fractional positions:
Bi: 0.053 0.000 0.241
Bi: 0.250 0.000 0.733
Bi: 0.250 0.500 0.267
Bi: 0.447 0.500 0.759
Bi: 0.553 0.500 0.241
Bi: 0.750 0.000 0.267
Bi: 0.750 0.500 0.733
Bi: 0.947 0.000 0.759
H: 0.044 0.500 0.642
H: 0.456 0.000 0.358
H: 0.544 0.000 0.642
H: 0.956 0.500 0.358
Au: 0.113 0.500 0.883
Au: 0.387 0.000 0.117
Au: 0.613 0.000 0.883
Au: 0.887 0.500 0.117

Summary:
As for the raw total energy: -3.430 eV per atom. The calculation puts the density at 11455 kg/m3. Its space-group type is C2/m, No. 12. The value obtained for the spin magnetization is 0.00 μB/atom.

***

Record 4
A relaxed Bi2HAu crystal, computed with PBE.

Unit cell a=4.447 b=4.447 c=20.497 alpha=90.00 beta=90.00 gamma=120.00
Fractional positions:
Bi: 0.000 0.000 0.102
Bi: 0.000 0.000 0.898
Bi: 0.333 0.667 0.565
Bi: 0.333 0.667 0.768
Bi: 0.667 0.333 0.232
Bi: 0.667 0.333 0.435
H: 0.000 0.000 0.000
H: 0.333 0.667 0.667
H: 0.667 0.333 0.333
Au: 0.000 0.000 0.500
Au: 0.333 0.667 0.167
Au: 0.667 0.333 0.833

Summary:
As for the raw total energy: -3.413 eV per atom. The calculation puts the density at 8739 kg/m3. Its space-group type is R-3m, No. 166. The value obtained for the spin magnetization is 0.00 μB/atom.

***

Record 5
A relaxed Bi2HAu crystal, computed with PBE.

Unit cell a=7.098 b=7.098 c=6.835 alpha=90.00 beta=90.00 gamma=90.00
Fractional positions:
Bi: 0.183 0.250 0.125
Bi: 0.250 0.683 0.375
Bi: 0.250 0.817 0.875
Bi: 0.317 0.250 0.625
Bi: 0.683 0.750 0.625
Bi: 0.750 0.183 0.875
Bi: 0.750 0.317 0.375
Bi: 0.817 0.750 0.125
H: 0.000 0.000 0.000
H: 0.000 0.500 0.250
H: 0.500 0.000 0.750
H: 0.500 0.500 0.500
Au: 0.000 0.000 0.500
Au: 0.000 0.500 0.750
Au: 0.500 0.000 0.250
Au: 0.500 0.500 0.000

Summary:
As for the raw total energy: -3.316 eV per atom. The calculation puts the density at 11881 kg/m3. Its space-group type is I-42d, No. 122. The value obtained for the spin magnetization is 0.00 μB/atom.

***

Record 6
A relaxed BiHAu crystal, computed with PBE.

Unit cell a=4.316 b=4.325 c=6.743 alpha=72.57 beta=89.99 gamma=89.68
Fractional positions:
Bi: 0.248 0.144 0.286
Bi: 0.752 0.856 0.714
H: 0.252 0.393 0.897
H: 0.748 0.607 0.103
Au: 0.250 0.351 0.656
Au: 0.750 0.649 0.344

Summary:
As for the raw total energy: -3.377 eV per atom. The calculation puts the density at 11254 kg/m3. Its space-group type is P-1, No. 2. The value obtained for the spin magnetization is 0.00 μB/atom.

***

Record 7
A relaxed BiHAu2 crystal, computed with PBE.

Unit cell a=3.262 b=3.262 c=24.155 alpha=90.00 beta=90.00 gamma=120.00
Fractional positions:
Bi: 0.000 0.000 0.000
Bi: 0.333 0.667 0.667
Bi: 0.667 0.333 0.333
H: 0.000 0.000 0.500
H: 0.333 0.667 0.167
H: 0.667 0.333 0.833
Au: 0.000 0.000 0.119
Au: 0.000 0.000 0.881
Au: 0.333 0.667 0.547
Au: 0.333 0.667 0.786
Au: 0.667 0.333 0.214
Au: 0.667 0.333 0.453

Summary:
As for the raw total energy: -3.080 eV per atom. The calculation puts the density at 13515 kg/m3. Its space-group type is R-3m, No. 166. The value obtained for the spin magnetization is 0.00 μB/atom.

***

Record 8
A relaxed Bi2HAu2 crystal, computed with PBE.

Unit cell a=3.850 b=3.850 c=15.841 alpha=90.00 beta=90.00 gamma=90.00
Fractional positions:
Bi: 0.000 0.000 0.102
Bi: 0.000 0.000 0.898
Bi: 0.500 0.500 0.398
Bi: 0.500 0.500 0.602
H: 0.000 0.000 0.500
H: 0.500 0.500 0.000
Au: 0.000 0.500 0.250
Au: 0.000 0.500 0.750
Au: 0.500 0.000 0.250
Au: 0.500 0.000 0.750

Summary:
As for the raw total energy: -3.113 eV per atom. The calculation puts the density at 11496 kg/m3. Its space-group type is I4/mmm, No. 139. The value obtained for the spin magnetization is 0.00 μB/atom.

***

Record 9
A relaxed BiHAu crystal, computed with PBE.

Unit cell a=10.345 b=10.345 c=4.759 alpha=90.00 beta=90.00 gamma=90.00
Fractional positions:
Bi: 0.028 0.295 0.344
Bi: 0.205 0.472 0.844
Bi: 0.295 0.972 0.656
Bi: 0.472 0.795 0.156
Bi: 0.528 0.205 0.156
Bi: 0.705 0.028 0.656
Bi: 0.795 0.528 0.844
Bi: 0.972 0.705 0.344
H: 0.102 0.608 0.554
H: 0.108 0.602 0.054
H: 0.392 0.102 0.446
H: 0.398 0.108 0.946
H: 0.602 0.892 0.946
H: 0.608 0.898 0.446
H: 0.892 0.398 0.054
H: 0.898 0.392 0.554
Au: 0.074 0.125 0.799
Au: 0.125 0.926 0.201
Au: 0.375 0.426 0.299
Au: 0.426 0.625 0.701
Au: 0.574 0.375 0.701
Au: 0.625 0.574 0.299
Au: 0.875 0.074 0.201
Au: 0.926 0.875 0.799

Summary:
As for the raw total energy: -3.197 eV per atom. The calculation puts the density at 10615 kg/m3. Its space-group type is P-42_1c, No. 114. The value obtained for the spin magnetization is 0.00 μB/atom.

***

Record 10
A relaxed Bi2HAu2 crystal, computed with PBE.

Unit cell a=6.894 b=6.894 c=4.716 alpha=90.00 beta=90.00 gamma=90.00
Fractional positions:
Bi: 0.189 0.311 0.000
Bi: 0.311 0.811 0.000
Bi: 0.689 0.189 0.000
Bi: 0.811 0.689 0.000
H: 0.000 0.000 0.000
H: 0.500 0.500 0.000
Au: 0.143 0.643 0.500
Au: 0.357 0.143 0.500
Au: 0.643 0.857 0.500
Au: 0.857 0.357 0.500

Summary:
As for the raw total energy: -3.269 eV per atom. The calculation puts the density at 12043 kg/m3. Its space-group type is P4/mbm, No. 127. The value obtained for the spin magnetization is 0.00 μB/atom.

***

Record 11
A relaxed BiHAu2 crystal, computed with PBE.

Unit cell a=6.764 b=6.764 c=6.764 alpha=90.00 beta=90.00 gamma=90.00
Fractional positions:
Bi: 0.000 0.000 0.000
Bi: 0.000 0.500 0.500
Bi: 0.500 0.000 0.500
Bi: 0.500 0.500 0.000
H: 0.000 0.000 0.500
H: 0.000 0.500 0.000
H: 0.500 0.000 0.000
H: 0.500 0.500 0.500
Au: 0.250 0.250 0.250
Au: 0.250 0.250 0.750
Au: 0.250 0.750 0.250
Au: 0.250 0.750 0.750
Au: 0.750 0.250 0.250
Au: 0.750 0.250 0.750
Au: 0.750 0.750 0.250
Au: 0.750 0.750 0.750

Summary:
As for the raw total energy: -2.852 eV per atom. The calculation puts the density at 12960 kg/m3. Its space-group type is Fm-3m, No. 225. The value obtained for the spin magnetization is 0.14 μB/atom.

***

Record 12
A relaxed Hg2BiHAu crystal, computed with PBE.

Unit cell a=5.720 b=5.720 c=3.458 alpha=90.00 beta=90.00 gamma=90.00
Fractional positions:
Hg: 0.000 0.500 0.000
Hg: 0.500 0.000 0.000
Bi: 0.000 0.000 0.500
H: 0.500 0.500 0.500
Au: 0.500 0.500 0.000

Summary:
As for the raw total energy: -2.075 eV per atom. The calculation puts the density at 11859 kg/m3. Its space-group type is P4/mmm, No. 123. The value obtained for the spin magnetization is 0.00 μB/atom.